[1]
Compound: SmSc4Sn4
Source: Alexandria via LeMat-Bulk
Functional: PBE-GGA
Structure: relaxed

E_tot: -5.4856 eV/atom
SG: P4_2/n, No. 86
DFT formation energy: -368 meV/atom

a = 5.8056 Å, b = 9.5188 Å, c = 9.5188 Å
α = 90.00°, β = 90.00°, γ = 90.00°
Atoms (fractional coordinates):
Sc 0.3974 0.6410 0.1105
Sc 0.6026 0.8895 0.6410
Sc 0.6026 0.1105 0.3590
Sc 0.8974 0.3895 0.1410
Sc 0.3974 0.3590 0.8895
Sc 0.1026 0.1410 0.6105
Sc 0.1026 0.8590 0.3895
Sc 0.8974 0.6105 0.8590
Sm 0.5000 0.5000 0.5000
Sm 0.0000 0.0000 0.0000
Sn 0.9138 0.3014 0.8504
Sn 0.5862 0.8014 0.3504
Sn 0.0862 0.1496 0.3014
Sn 0.9138 0.6986 0.1496
Sn 0.0862 0.8504 0.6986
Sn 0.4138 0.6496 0.8014
Sn 0.5862 0.1986 0.6496
Sn 0.4138 0.3504 0.1986

=====

[2]
Compound: Sm6In2Au
Source: Alexandria via LeMat-Bulk
Functional: PBE-GGA
Structure: relaxed

E_tot: -4.4920 eV/atom
SG: P4_2/mnm, No. 136
DFT formation energy: -373 meV/atom

a = 5.1411 Å, b = 10.1781 Å, c = 10.1795 Å
α = 90.00°, β = 90.00°, γ = 90.00°
Atoms (fractional coordinates):
In 0.5000 0.7970 0.7034
In 0.0000 0.2970 0.7966
In 0.0000 0.7030 0.2034
In 0.5000 0.2030 0.2966
Sm 0.0000 0.6212 0.8792
Sm 0.0000 0.3173 0.4776
Sm 0.5000 0.5221 0.3173
Sm 0.0000 0.9779 0.8174
Sm 0.5000 0.4779 0.6827
Sm 0.0000 0.6827 0.5224
Sm 0.5000 0.8174 0.0224
Sm 0.0000 0.3788 0.1208
Sm 0.5000 0.8788 0.3791
Sm 0.0000 0.0221 0.1826
Sm 0.5000 0.1212 0.6209
Sm 0.5000 0.1826 0.9776
Au 0.5000 0.5000 0.0000
Au 0.0000 0.0000 0.5000

=====

[3]
Compound: NaSnPdO4
Source: Alexandria via LeMat-Bulk
Functional: PBE-GGA
Structure: relaxed

E_tot: -5.5233 eV/atom
SG: Imma, No. 74
Formation energy from raw total energies: -1.188 eV per atom

a = 6.3211 Å, b = 6.5635 Å, c = 6.3503 Å
α = 118.93°, β = 90.00°, γ = 118.79°
Site moments in Bohr magnetons follow the coordinates.
Atoms (fractional coordinates):
O 0.7143 0.9934 0.7467  0.13
O 0.2780 0.5561 0.3167  0.04
O 0.7209 0.0066 0.2533  0.13
O 0.2857 0.0066 0.2533  0.13
O 0.2791 0.9934 0.7467  0.13
O 0.7220 0.4439 0.2606  0.04
O 0.7220 0.4439 0.6833  0.04
O 0.2780 0.5561 0.7394  0.04
Pd 0.5000 0.5000 0.5000  0.53
Pd 0.0000 0.5000 0.5000  0.53
Sn 0.5000 0.0000 0.5000  -0.01
Sn 0.5000 0.0000 0.0000  -0.01
Na 0.8653 0.7307 0.1153  0.00
Na 0.1347 0.2693 0.8847  0.00

=====

[4]
Compound: NbSnMoSe2
Source: Alexandria via LeMat-Bulk
Functional: PBE-GGA
Structure: relaxed

E_tot: -4.6118 eV/atom
SG: P4/mmm, No. 123
Formation energy from raw total energies: 1.763 eV per atom

a = 5.0724 Å, b = 5.0809 Å, c = 5.0724 Å
α = 90.00°, β = 90.00°, γ = 90.00°
Site moments in Bohr magnetons follow the coordinates.
Atoms (fractional coordinates):
Se 0.5000 0.0000 0.0000  -0.01
Se 0.0000 0.0000 0.5000  0.00
Nb 0.5000 0.5000 0.5000  0.07
Mo 0.0000 0.5000 0.0000  0.16
Sn 0.0000 0.0000 0.0000  0.01

=====

Question: The lowest E_tot belongs to which entry?
Answer: NaSnPdO4

=====

Question: Look up the E_tot of the fourth one.
Answer: -4.6118 eV/atom